DFT (PBE) results for a geometry-optimized TcTeIO2 structure.

```
TcTeIO2
1.0
4.063 0.000 0.000
0.000 4.063 0.000
0.000 0.000 6.995
I Tc Te O
1 1 1 2
Direct
0.000 0.000 0.500
0.500 0.500 0.500
0.000 0.000 0.000
0.500 0.000 0.000
0.000 0.500 0.000
```

Results
**E_form (uncorrected)**: 1.81 eV/f.u.
**Energy above the lowest structure with this stoichiometry**: 0.528 eV/atom
**Symmetry**: P4/mmm
**VASP energy**: -23.17 eV/cell